The following is a PBE calculation of Pm2In9Hg after structural relaxation, from Alexandria.

Results
Calculated volume in Å³ per cell: 316
E in eV for the cell shown: -37.69
Energy relative to the elements in eV per atom: -0.270
Magnetization in μB per formula unit: 0.00

Cell lengths 4.6557, 4.6557, 14.5726 Å; angles 90.00, 90.00, 90.00 degrees
Closest atoms and distances in Å follow each position.
Positions (direct):
In (0.5000, 0.0000, 0.1699)  8 In 3.29-3.40, 2 Pm 3.39, 2 Hg 3.40
In (0.0000, 0.5000, 0.1699)  8 In 3.29-3.40, 2 Pm 3.39, 2 Hg 3.40
In (0.5000, 0.5000, 0.3387)  4 Pm 3.29, 8 In 3.31-3.39
In (0.5000, 0.0000, 0.5000)  8 In 3.29-3.31, 4 Pm 3.30
In (0.0000, 0.5000, 0.5000)  8 In 3.29-3.31, 4 Pm 3.30
In (0.5000, 0.0000, 0.8301)  8 In 3.29-3.40, 2 Pm 3.39, 2 Hg 3.40
In (0.5000, 0.5000, 0.6613)  4 Pm 3.29, 8 In 3.31-3.39
In (0.5000, 0.5000, 0.0000)  4 Hg 3.29, 8 In 3.40
In (0.0000, 0.5000, 0.8301)  8 In 3.29-3.40, 2 Pm 3.39, 2 Hg 3.40
Hg (0.0000, 0.0000, 0.0000)  12 In 3.29-3.40
Pm (0.0000, 0.0000, 0.6606)  12 In 3.29-3.39
Pm (0.0000, 0.0000, 0.3394)  12 In 3.29-3.39

The following is a PBE calculation of Pm4InHg after structural relaxation, from Alexandria.

Results
Calculated volume in Å³ per cell: 206
E in eV for the cell shown: -22.64
Energy relative to the elements in eV per atom: -0.100
Magnetization in μB per formula unit: 0.00

Cell lengths 5.2185, 5.2191, 7.5618 Å; angles 89.98, 89.99, 90.00 degrees
Closest atoms and distances in Å follow each position.
Positions (direct):
In (0.5012, 0.4974, 0.9982)  8 Pm 3.25
Pm (0.0014, 0.4973, 0.7427)  2 Hg 3.20, 2 In 3.25
Pm (0.5013, 0.9972, 0.2536)  2 Hg 3.20, 2 In 3.25
Pm (0.5013, 0.9975, 0.7427)  2 Hg 3.20, 2 In 3.25
Pm (0.0012, 0.4972, 0.2536)  2 Hg 3.20, 2 In 3.25
Hg (0.0013, 0.9972, 0.4981)  8 Pm 3.20

What did the second record say?
The following is a PBE calculation of Pm4InHg after structural relaxation, from Alexandria.

Results
Calculated volume in Å³ per cell: 206
E in eV for the cell shown: -22.64
Energy relative to the elements in eV per atom: -0.100
Magnetization in μB per formula unit: 0.00

Cell lengths 5.2185, 5.2191, 7.5618 Å; angles 89.98, 89.99, 90.00 degrees
Closest atoms and distances in Å follow each position.
Positions (direct):
In (0.5012, 0.4974, 0.9982)  8 Pm 3.25
Pm (0.0014, 0.4973, 0.7427)  2 Hg 3.20, 2 In 3.25
Pm (0.5013, 0.9972, 0.2536)  2 Hg 3.20, 2 In 3.25
Pm (0.5013, 0.9975, 0.7427)  2 Hg 3.20, 2 In 3.25
Pm (0.0012, 0.4972, 0.2536)  2 Hg 3.20, 2 In 3.25
Hg (0.0013, 0.9972, 0.4981)  8 Pm 3.20

Q: Which of these has the lowest E?
A: Pm2In9Hg